1.
Below is HfTePd after structural relaxation, with properties calculated at the PBE level.

Geometry as CIF:
```
data_HfTePd
_cell_length_a 4.588
_cell_length_b 4.588
_cell_length_c 4.588
_cell_angle_alpha 60.00
_cell_angle_beta 60.00
_cell_angle_gamma 60.00
_symmetry_space_group_name_H-M 'P 1'
_symmetry_Int_Tables_number 1
loop_
_symmetry_equiv_pos_as_xyz
'x,y,z'
loop_
_atom_site_label
_atom_site_fract_x
_atom_site_fract_y
_atom_site_fract_z
_atom_site_occupancy
Hf1 0.000 0.000 0.000 1
Te1 0.500 0.500 0.500 1
Pd1 0.250 0.250 0.250 1
```

Output
M_tot   0.002 μB/atom
Raw total energy   -18.94 eV per cell


2.
Below is HfTlTe3Pd after structural relaxation, with properties calculated at the PBE level.

Geometry as CIF:
```
data_HfTlTe3Pd
_cell_length_a 8.086
_cell_length_b 8.086
_cell_length_c 10.801
_cell_angle_alpha 90.00
_cell_angle_beta 90.00
_cell_angle_gamma 151.75
_symmetry_space_group_name_H-M 'P 1'
_symmetry_Int_Tables_number 1
loop_
_symmetry_equiv_pos_as_xyz
'x,y,z'
loop_
_atom_site_label
_atom_site_fract_x
_atom_site_fract_y
_atom_site_fract_z
_atom_site_occupancy
Hf1 0.000 0.000 0.000 1
Hf2 0.000 0.000 0.500 1
Tl1 0.233 0.767 0.750 1
Tl2 0.767 0.233 0.250 1
Te1 0.077 0.923 0.250 1
Te2 0.366 0.634 0.041 1
Te3 0.366 0.634 0.459 1
Te4 0.634 0.366 0.541 1
Te5 0.634 0.366 0.959 1
Te6 0.923 0.077 0.750 1
Pd1 0.462 0.538 0.250 1
Pd2 0.538 0.462 0.750 1
```

Output
M_tot   0.003 μB/atom
Raw total energy   -60.73 eV per cell


3.
Below is HfTlTe3Pd after structural relaxation, with properties calculated at the PBE level.

Geometry as CIF:
```
data_HfTlTe3Pd
_cell_length_a 8.776
_cell_length_b 3.963
_cell_length_c 10.799
_cell_angle_alpha 90.00
_cell_angle_beta 112.38
_cell_angle_gamma 90.00
_symmetry_space_group_name_H-M 'P 1'
_symmetry_Int_Tables_number 1
loop_
_symmetry_equiv_pos_as_xyz
'x,y,z'
loop_
_atom_site_label
_atom_site_fract_x
_atom_site_fract_y
_atom_site_fract_z
_atom_site_occupancy
Hf1 0.216 0.250 0.178 1
Hf2 0.784 0.750 0.822 1
Tl1 0.220 0.750 0.708 1
Tl2 0.780 0.250 0.292 1
Te1 0.051 0.250 0.878 1
Te2 0.246 0.250 0.450 1
Te3 0.432 0.750 0.142 1
Te4 0.568 0.250 0.858 1
Te5 0.754 0.750 0.550 1
Te6 0.949 0.750 0.122 1
Pd1 0.414 0.750 0.388 1
Pd2 0.586 0.250 0.612 1
```

Output
M_tot   0.001 μB/atom
Raw total energy   -61.07 eV per cell


- Number 1 is which compound?
  HfTePd